# 1
Compound: Ba3ICl5
Source: the Alexandria database
Functional: PBE-GGA
Structure: relaxed

Cell: 4.851 16.899 15.419 Å, 90.00 90.00 90.00°
Space group Cmcm (No. 63)
One atom of each set of equivalent atoms:
Ba  0.000  0.119  0.044 (multiplicity 8)
Ba  0.000  0.380  0.250 (multiplicity 4)
I  0.000  0.323  0.750 (multiplicity 4)
Cl  0.000  0.049  0.645 (multiplicity 8)
Cl  0.000  0.301  0.065 (multiplicity 8)
Cl  0.000  0.500  0.000 (multiplicity 4)

Computed properties:
Volume ... 1264 Å³/cell
Crystal system ... orthorhombic
Calculated density ... 3.763 Mg/m³
DFT total energy ... -150.86 eV for the cell shown
Formation energy from raw total energies ... -2.3514 eV per atom

***

# 2
Compound: Ba2ICl
Source: the Alexandria database
Functional: PBE-GGA
Structure: relaxed

Cell: 4.3849 4.3849 28.5002 Å, 90.00 90.00 120.00°
Space group R3m (No. 160, hexagonal axes)
One atom of each set of equivalent atoms:
Ba  0.0000  0.0000  0.0000 (multiplicity 3)
Ba  0.0000  0.0000  0.1579 (multiplicity 3)
I  0.0000  0.0000  0.5797 (multiplicity 3)
Cl  0.0000  0.0000  0.7439 (multiplicity 3)

Computed properties:
Volume ... 475 Å³/cell
Crystal system ... trigonal
Calculated density ... 4.587 Mg/m³
Distance to the lowest polymorph of the same formula ... 41.0 meV per atom
DFT total energy ... -39.45 eV for the cell shown
Formation energy from raw total energies ... -1.4769 eV per atom

***

# 3
Compound: Ba2ICl
Source: the Alexandria database
Functional: PBE-GGA
Structure: relaxed

Cell: 7.628 7.628 15.175 Å, 90.00 90.00 90.00°
Space group I-42d (No. 122)
One atom of each set of equivalent atoms:
Ba  0.211  0.250  0.125 (multiplicity 8)
I  0.000  0.000  0.500 (multiplicity 4)
Cl  0.000  0.000  0.000 (multiplicity 4)

Computed properties:
Volume ... 883 Å³/cell
Crystal system ... tetragonal
Calculated density ... 3.287 Mg/m³
Distance to the lowest polymorph of the same formula ... 136.6 meV per atom
DFT total energy ... -51.07 eV for the cell shown
Formation energy from raw total energies ... -1.3813 eV per atom

***

# 4
Compound: BaInICl2
Source: the Alexandria database
Functional: PBE-GGA
Structure: relaxed

Cell: 8.714 5.193 10.402 Å, 90.00 110.38 90.00°
Space group P2_1/m (No. 11)
One atom of each set of equivalent atoms:
Ba  0.244  0.250  0.437 (multiplicity 2)
In  0.236  0.750  0.023 (multiplicity 2)
I  0.187  0.750  0.656 (multiplicity 2)
Cl  0.124  0.250  0.118 (multiplicity 2)
Cl  0.393  0.750  0.360 (multiplicity 2)

Computed properties:
Volume ... 441 Å³/cell
Crystal system ... monoclinic
Calculated density ... 3.387 Mg/m³
DFT total energy ... -36.10 eV for the cell shown
Formation energy from raw total energies ... -1.6295 eV per atom